Record 1
# PmTmAl2Zn2 | Alexandria via LeMat-Bulk | PBE | optimized geometry
# ΔH_f (0 K) ... -0.452 eV/atom
data_PmTmAl2Zn2
_chemical_formula_sum 'Pm1 Tm1 Al2 Zn2'
_cell_length_a 4.4933
_cell_length_b 4.4933
_cell_length_c 7.2590
_cell_angle_alpha 90.00
_cell_angle_beta 90.00
_cell_angle_gamma 120.00
_symmetry_space_group_name_H-M 'P -3 m 1'
_symmetry_Int_Tables_number 164
_symmetry_space_group_name_Hall '-P 3 2"'
loop_
_atom_site_label
_atom_site_type_symbol
_atom_site_fract_x
_atom_site_fract_y
_atom_site_fract_z
Pm1 Pm 0.0000 0.0000 0.0000
Tm1 Tm 0.0000 0.0000 0.5000
Al1 Al 0.3333 0.6667 0.2690
Zn1 Zn 0.3333 0.6667 0.7232


Record 2
# Y2OsCl | Alexandria via LeMat-Bulk | PBE | optimized geometry
# Formation energy from raw total energies ... -2.48 eV/f.u.
# ΔE to the lowest computed polymorph ... 100 kJ/mol of formula units
data_Y2OsCl
_chemical_formula_sum 'Y4 Os2 Cl2'
_cell_length_a 3.3923
_cell_length_b 3.7595
_cell_length_c 15.2812
_cell_angle_alpha 90.00
_cell_angle_beta 90.00
_cell_angle_gamma 90.00
_symmetry_space_group_name_H-M 'I m m 2'
_symmetry_Int_Tables_number 44
loop_
_symmetry_equiv_pos_as_xyz
'x,y,z'
'-x,-y,z'
'-x,y,z'
'x,-y,z'
'x+1/2,y+1/2,z+1/2'
'-x+1/2,-y+1/2,z+1/2'
'-x+1/2,y+1/2,z+1/2'
'x+1/2,-y+1/2,z+1/2'
loop_
_atom_site_label
_atom_site_type_symbol
_atom_site_fract_x
_atom_site_fract_y
_atom_site_fract_z
Y1 Y 0.0000 0.0000 0.0000
Y2 Y 0.0000 0.5000 0.2862
Os1 Os 0.0000 0.0000 0.4133
Cl1 Cl 0.0000 0.5000 0.6630


Number 1 is which compound? PmTmAl2Zn2


What is the formula in the first record? PmTmAl2Zn2